# 1
VASP calculation (PBE) on a relaxed SmPd2Pt crystal.

Cell: 4.189 4.189 4.138 Å, 90.00 90.00 90.00°
Sites, in units of the cell vectors:
Sm 0.000 0.000 0.000
Pd 0.000 0.500 0.500
Pd 0.500 0.000 0.500
Pt 0.500 0.500 0.000

Properties
The relative energy among the computed polymorphs comes out at 0 meV per atom. For the energy of formation from the pure elements, the calculation gives -852 meV/atom. The density of states at the Fermi level comes out at 4.1 states/eV/f.u. Its symmetry is P4/mmm, No. 123. Its total energy is -6.138 eV/atom.

=====

# 2
VASP calculation (PBE) on a relaxed KGaH crystal.

Cell: 4.413 4.413 10.105 Å, 96.14 96.14 60.21°
Sites, in units of the cell vectors:
K 0.000 0.000 0.000
K 0.578 0.578 0.464
Ga 0.288 0.288 0.726
Ga 0.631 0.631 0.783
H 0.259 0.259 0.556
H 0.658 0.658 0.952

Properties
The relative energy among the computed polymorphs comes out at 55 meV per atom. The density of states at the Fermi level comes out at 1.0 states/eV/f.u. Its symmetry is Cm, No. 8. Its total energy is -2.631 eV/atom.

=====

# 3
VASP calculation (PBE) on a relaxed KYTlO3 crystal.

Cell: 6.785 3.499 11.108 Å, 90.00 107.65 90.00°
Sites, in units of the cell vectors:
K 0.006 0.250 0.288
K 0.994 0.750 0.712
Y 0.471 0.750 0.626
Y 0.529 0.250 0.374
Tl 0.442 0.750 0.102
Tl 0.558 0.250 0.898
O 0.293 0.250 0.163
O 0.313 0.250 0.702
O 0.339 0.750 0.416
O 0.661 0.250 0.584
O 0.687 0.750 0.298
O 0.707 0.750 0.837

Properties
Its formation energy (no corrections) is -1957 meV/atom. The density of states at the Fermi level comes out at 0.8 states/eV/f.u. Its symmetry is P2_1/m, No. 11. Its total energy is -6.090 eV/atom.

=====

# 4
VASP calculation (PBE) on a relaxed Tb6ErSc5 crystal.

Cell: 10.331 10.331 10.331 Å, 159.48 114.79 69.16°
Sites, in units of the cell vectors:
Tb 0.085 0.334 0.751
Tb 0.229 0.000 0.229
Tb 0.417 0.666 0.751
Tb 0.583 0.334 0.249
Tb 0.771 0.000 0.771
Tb 0.915 0.666 0.249
Er 0.500 0.500 0.000
Sc 0.000 0.500 0.500
Sc 0.150 0.150 0.000
Sc 0.309 0.809 0.500
Sc 0.691 0.191 0.500
Sc 0.850 0.850 0.000

Properties
For the energy of formation from the pure elements, the calculation gives 132 meV/atom. The density of states at the Fermi level comes out at 23.1 states/eV/f.u. Its symmetry is Immm, No. 71. Its total energy is -5.201 eV/atom.